# 1
## Ca4GeO6 (GGA-PBE)

Data for Ca4GeO6 after structural relaxation.

```
data_Ca4GeO6
_symmetry_space_group_name_H-M 'P 1'
_symmetry_Int_Tables_number 1
_symmetry_space_group_name_Hall 'P 1'
_cell_length_a 6.3406
_cell_length_b 6.3406
_cell_length_c 11.5188
_cell_angle_alpha 109.84
_cell_angle_beta 109.84
_cell_angle_gamma 56.56
loop_
_atom_site_label
_atom_site_fract_x
_atom_site_fract_y
_atom_site_fract_z
Ca1 0.1361 0.8639 0.5000
Ca2 0.1782 0.4620 0.9389
Ca3 0.4051 0.8293 0.8305
Ca4 0.4620 0.1782 0.4389
Ca5 0.6495 0.9249 0.1559
Ca6 0.8293 0.4051 0.3305
Ca7 0.8639 0.1361 0.0000
Ca8 0.9249 0.6495 0.6559
Ge1 0.2992 0.7972 0.2155
Ge2 0.7972 0.2992 0.7155
O1 0.0548 0.7274 0.1216
O2 0.0902 0.5242 0.4833
O3 0.0985 0.7814 0.8570
O4 0.1205 0.1936 0.7085
O5 0.1936 0.1205 0.2085
O6 0.4147 0.7832 0.3793
O7 0.5242 0.0902 0.9833
O8 0.5859 0.5878 0.6500
O9 0.5878 0.5859 0.1500
O10 0.7274 0.0548 0.6216
O11 0.7814 0.0985 0.3570
O12 0.7832 0.4147 0.8793
```

Summary:
Fermi-level density of states in states/eV/cell: 0.00

# 2
## Ca6GeO8 (GGA-PBE)

Data for Ca6GeO8 after structural relaxation.

```
data_Ca6GeO8
_symmetry_space_group_name_H-M 'P 1'
_symmetry_Int_Tables_number 1
_symmetry_space_group_name_Hall 'P 1'
_cell_length_a 6.7116
_cell_length_b 6.7116
_cell_length_c 6.7116
_cell_angle_alpha 60.00
_cell_angle_beta 60.00
_cell_angle_gamma 60.00
loop_
_atom_site_label
_atom_site_fract_x
_atom_site_fract_y
_atom_site_fract_z
Ca1 0.0000 0.0000 0.5000
Ca2 0.0000 0.5000 0.0000
Ca3 0.0000 0.5000 0.5000
Ca4 0.5000 0.0000 0.0000
Ca5 0.5000 0.0000 0.5000
Ca6 0.5000 0.5000 0.0000
Ge1 0.0000 0.0000 0.0000
O1 0.2106 0.2106 0.7894
O2 0.2106 0.7894 0.2106
O3 0.2106 0.7894 0.7894
O4 0.2500 0.2500 0.2500
O5 0.7500 0.7500 0.7500
O6 0.7894 0.2106 0.2106
O7 0.7894 0.2106 0.7894
O8 0.7894 0.7894 0.2106
```

Summary:
Fermi-level density of states in states/eV/cell: 0.00

# 3
## Ca12Ge3O5 (GGA-PBE)

Data for Ca12Ge3O5 after structural relaxation.

```
data_Ca12Ge3O5
_symmetry_space_group_name_H-M 'P 1'
_symmetry_Int_Tables_number 1
_symmetry_space_group_name_Hall 'P 1'
_cell_length_a 13.4848
_cell_length_b 13.4848
_cell_length_c 13.4848
_cell_angle_alpha 109.47
_cell_angle_beta 109.47
_cell_angle_gamma 109.47
loop_
_atom_site_label
_atom_site_fract_x
_atom_site_fract_y
_atom_site_fract_z
Ca1 0.0202 0.2034 0.1206
Ca2 0.0202 0.3168 0.8996
Ca3 0.0828 0.7034 0.6832
Ca4 0.0828 0.8794 0.3996
Ca5 0.1004 0.6206 0.4172
Ca6 0.1004 0.9798 0.6832
Ca7 0.1206 0.0202 0.2034
Ca8 0.1206 0.6004 0.9172
Ca9 0.1832 0.2034 0.5828
Ca10 0.1832 0.4798 0.6004
Ca11 0.2034 0.1206 0.0202
Ca12 0.2034 0.5828 0.1832
Ca13 0.2966 0.3168 0.9172
Ca14 0.2966 0.4798 0.3794
Ca15 0.3168 0.8996 0.0202
Ca16 0.3168 0.9172 0.2966
Ca17 0.3794 0.2966 0.4798
Ca18 0.3794 0.5828 0.8996
Ca19 0.3996 0.0828 0.8794
Ca20 0.3996 0.8168 0.5202
Ca21 0.4172 0.1004 0.6206
Ca22 0.4172 0.8168 0.7966
Ca23 0.4798 0.3794 0.2966
Ca24 0.4798 0.6004 0.1832
Ca25 0.5202 0.3996 0.8168
Ca26 0.5202 0.6206 0.7034
Ca27 0.5828 0.1832 0.2034
Ca28 0.5828 0.8996 0.3794
Ca29 0.6004 0.1832 0.4798
Ca30 0.6004 0.9172 0.1206
Ca31 0.6206 0.4172 0.1004
Ca32 0.6206 0.7034 0.5202
Ca33 0.6832 0.0828 0.7034
Ca34 0.6832 0.1004 0.9798
Ca35 0.7034 0.5202 0.6206
Ca36 0.7034 0.6832 0.0828
Ca37 0.7966 0.4172 0.8168
Ca38 0.7966 0.8794 0.9798
Ca39 0.8168 0.5202 0.3996
Ca40 0.8168 0.7966 0.4172
Ca41 0.8794 0.3996 0.0828
Ca42 0.8794 0.9798 0.7966
Ca43 0.8996 0.0202 0.3168
Ca44 0.8996 0.3794 0.5828
Ca45 0.9172 0.1206 0.6004
Ca46 0.9172 0.2966 0.3168
Ca47 0.9798 0.6832 0.1004
Ca48 0.9798 0.7966 0.8794
Ge1 0.1250 0.2500 0.3750
Ge2 0.1250 0.3750 0.7500
Ge3 0.2500 0.3750 0.1250
Ge4 0.2500 0.8750 0.6250
Ge5 0.3750 0.1250 0.2500
Ge6 0.3750 0.7500 0.1250
Ge7 0.6250 0.2500 0.8750
Ge8 0.6250 0.8750 0.7500
Ge9 0.7500 0.1250 0.3750
Ge10 0.7500 0.6250 0.8750
Ge11 0.8750 0.6250 0.2500
Ge12 0.8750 0.7500 0.6250
O1 0.0000 0.0000 0.0000
O2 0.0000 0.0000 0.5000
O3 0.0000 0.5000 0.0000
O4 0.0000 0.5000 0.5000
O5 0.1250 0.7500 0.8750
O6 0.1250 0.8750 0.2500
O7 0.2500 0.1250 0.8750
O8 0.2500 0.6250 0.3750
O9 0.3750 0.2500 0.6250
O10 0.3750 0.6250 0.7500
O11 0.5000 0.0000 0.0000
O12 0.5000 0.0000 0.5000
O13 0.5000 0.5000 0.0000
O14 0.5000 0.5000 0.5000
O15 0.6250 0.3750 0.2500
O16 0.6250 0.7500 0.3750
O17 0.7500 0.3750 0.6250
O18 0.7500 0.8750 0.1250
O19 0.8750 0.1250 0.7500
O20 0.8750 0.2500 0.1250
```

Summary:
Fermi-level density of states in states/eV/cell: 21.01

# 4
## Ca3GeO4 (GGA-PBE)

Data for Ca3GeO4 after structural relaxation.

```
data_Ca3GeO4
_symmetry_space_group_name_H-M 'P 1'
_symmetry_Int_Tables_number 1
_symmetry_space_group_name_Hall 'P 1'
_cell_length_a 8.4252
_cell_length_b 6.5133
_cell_length_c 4.8588
_cell_angle_alpha 90.00
_cell_angle_beta 90.00
_cell_angle_gamma 90.00
loop_
_atom_site_label
_atom_site_fract_x
_atom_site_fract_y
_atom_site_fract_z
Ca1 0.0000 0.1613 0.0000
Ca2 0.2446 0.6768 0.9979
Ca3 0.2554 0.3232 0.4979
Ca4 0.5000 0.8387 0.5000
Ca5 0.7446 0.3232 0.4979
Ca6 0.7554 0.6768 0.9979
Ge1 0.0000 0.8307 0.4987
Ge2 0.5000 0.1693 0.9987
O1 0.0000 0.1406 0.5004
O2 0.0000 0.8158 0.1205
O3 0.2310 0.3293 0.9930
O4 0.2690 0.6707 0.4930
O5 0.5000 0.1842 0.6205
O6 0.5000 0.8594 0.0004
O7 0.7310 0.6707 0.4930
O8 0.7690 0.3293 0.9930
```

Summary:
Fermi-level density of states in states/eV/cell: 0.00

E_form (uncorrected) (meV per atom)
-2612; -2720; -1603; -2422